(1)
# HoErTa2Sn2, relaxed, DFT PBE
# total moment = 0.77 Bohr magnetons per cell
# total DFT energy (no corrections) = -7.176 eV per atom
data_HoErTa2Sn2
_chemical_formula_sum 'Ho1 Er1 Ta2 Sn2'
_cell_length_a 4.189
_cell_length_b 4.189
_cell_length_c 8.035
_cell_angle_alpha 90.00
_cell_angle_beta 90.00
_cell_angle_gamma 90.00
_symmetry_space_group_name_H-M 'P 4 m m'
_symmetry_Int_Tables_number 99
loop_
_symmetry_equiv_pos_as_xyz
'x,y,z'
'-y,x,z'
'-x,-y,z'
'y,-x,z'
'-x,y,z'
'y,x,z'
'x,-y,z'
'-y,-x,z'
loop_
_atom_site_label
_atom_site_type_symbol
_atom_site_fract_x
_atom_site_fract_y
_atom_site_fract_z
_atom_site_occupancy
Ho1 Ho 0.000 0.000 0.000 1
Er1 Er 0.500 0.500 0.691 1
Ta1 Ta 0.000 0.500 0.346 1
Sn1 Sn 0.000 0.000 0.604 1
Sn2 Sn 0.500 0.500 0.088 1

(2)
# HoErZn2Sn2, relaxed, DFT PBE
# total moment = 0.01 Bohr magnetons per cell
# total DFT energy (no corrections) = -3.842 eV per atom
data_HoErZn2Sn2
_chemical_formula_sum 'Ho2 Er2 Zn4 Sn4'
_cell_length_a 4.4919
_cell_length_b 4.4919
_cell_length_c 15.6820
_cell_angle_alpha 90.00
_cell_angle_beta 90.00
_cell_angle_gamma 120.00
_symmetry_space_group_name_H-M 'P 63/m m c'
_symmetry_Int_Tables_number 194
_symmetry_space_group_name_Hall '-P 6c 2c'
loop_
_atom_site_label
_atom_site_type_symbol
_atom_site_fract_x
_atom_site_fract_y
_atom_site_fract_z
_atom_site_occupancy
Ho1 Ho 0.0000 0.0000 0.0000 1
Er1 Er 0.0000 0.0000 0.2500 1
Zn1 Zn 0.3333 0.6667 0.1613 1
Sn1 Sn 0.3333 0.6667 0.6128 1

(3)
# HoErZn2Sn2, relaxed, DFT PBE
# total moment = 0.01 Bohr magnetons per cell
# total DFT energy (no corrections) = -3.840 eV per atom
data_HoErZn2Sn2
_chemical_formula_sum 'Ho2 Er2 Zn4 Sn4'
_cell_length_a 4.4921
_cell_length_b 4.4921
_cell_length_c 15.6830
_cell_angle_alpha 90.00
_cell_angle_beta 90.00
_cell_angle_gamma 120.00
_symmetry_space_group_name_H-M 'P 63/m m c'
_symmetry_Int_Tables_number 194
_symmetry_space_group_name_Hall '-P 6c 2c'
loop_
_atom_site_label
_atom_site_type_symbol
_atom_site_fract_x
_atom_site_fract_y
_atom_site_fract_z
_atom_site_occupancy
Ho1 Ho 0.0000 0.0000 0.2500 1
Er1 Er 0.0000 0.0000 0.0000 1
Zn1 Zn 0.3333 0.6667 0.1610 1
Sn1 Sn 0.3333 0.6667 0.6126 1

(4)
# SrHoEr, relaxed, DFT PBE
# total moment = 0.05 Bohr magnetons per cell
# total DFT energy (no corrections) = -2.789 eV per atom
data_SrHoEr
_chemical_formula_sum 'Sr4 Ho4 Er4'
_cell_length_a 8.075
_cell_length_b 8.075
_cell_length_c 8.075
_cell_angle_alpha 90.00
_cell_angle_beta 90.00
_cell_angle_gamma 90.00
_symmetry_space_group_name_H-M 'F -4 3 m'
_symmetry_Int_Tables_number 216
_symmetry_space_group_name_Hall 'F -4 2 3'
loop_
_atom_site_label
_atom_site_type_symbol
_atom_site_fract_x
_atom_site_fract_y
_atom_site_fract_z
_atom_site_occupancy
Sr1 Sr 0.000 0.000 0.000 1
Ho1 Ho 0.000 0.000 0.500 1
Er1 Er 0.250 0.250 0.750 1

(5)
# HoErTe, relaxed, DFT PBE
# total moment = 3.76 Bohr magnetons per cell
# total DFT energy (no corrections) = -4.509 eV per atom
data_HoErTe
_chemical_formula_sum 'Ho4 Er4 Te4'
_cell_length_a 7.102
_cell_length_b 7.102
_cell_length_c 7.102
_cell_angle_alpha 90.00
_cell_angle_beta 90.00
_cell_angle_gamma 90.00
_symmetry_space_group_name_H-M 'F -4 3 m'
_symmetry_Int_Tables_number 216
_symmetry_space_group_name_Hall 'F -4 2 3'
loop_
_atom_site_label
_atom_site_type_symbol
_atom_site_fract_x
_atom_site_fract_y
_atom_site_fract_z
_atom_site_occupancy
Ho1 Ho 0.000 0.000 0.000 1
Er1 Er 0.000 0.000 0.500 1
Te1 Te 0.250 0.250 0.750 1

(6)
# Ho3Er5Te, relaxed, DFT PBE
# total moment = 0.11 Bohr magnetons per cell
# total DFT energy (no corrections) = -4.690 eV per atom
data_Ho3Er5Te
_chemical_formula_sum 'Ho3 Er5 Te1'
_cell_length_a 9.1406
_cell_length_b 9.1406
_cell_length_c 3.7463
_cell_angle_alpha 90.00
_cell_angle_beta 90.00
_cell_angle_gamma 120.00
_symmetry_space_group_name_H-M 'P -6 2 m'
_symmetry_Int_Tables_number 189
_symmetry_space_group_name_Hall 'P -6 -2'
loop_
_atom_site_label
_atom_site_type_symbol
_atom_site_fract_x
_atom_site_fract_y
_atom_site_fract_z
_atom_site_occupancy
Ho1 Ho 0.0000 0.2746 0.0000 1
Er1 Er 0.0000 0.6162 0.5000 1
Er2 Er 0.3333 0.6667 0.0000 1
Te1 Te 0.0000 0.0000 0.5000 1

(7)
# Ho3Er5Te, relaxed, DFT PBE
# total moment = 0.01 Bohr magnetons per cell
# total DFT energy (no corrections) = -4.689 eV per atom
data_Ho3Er5Te
_chemical_formula_sum 'Ho3 Er5 Te1'
_cell_length_a 9.1376
_cell_length_b 9.1376
_cell_length_c 3.7434
_cell_angle_alpha 90.00
_cell_angle_beta 90.00
_cell_angle_gamma 120.00
_symmetry_space_group_name_H-M 'P -6 2 m'
_symmetry_Int_Tables_number 189
_symmetry_space_group_name_Hall 'P -6 -2'
loop_
_atom_site_label
_atom_site_type_symbol
_atom_site_fract_x
_atom_site_fract_y
_atom_site_fract_z
_atom_site_occupancy
Ho1 Ho 0.0000 0.6162 0.0000 1
Er1 Er 0.0000 0.2745 0.5000 1
Er2 Er 0.3333 0.6667 0.5000 1
Te1 Te 0.0000 0.0000 0.0000 1

(8)
# HoEr2Te3, relaxed, DFT PBE
# total moment = 0.01 Bohr magnetons per cell
# total DFT energy (no corrections) = -5.075 eV per atom
data_HoEr2Te3
_chemical_formula_sum 'Ho1 Er2 Te3'
_cell_length_a 4.3153
_cell_length_b 4.3153
_cell_length_c 10.5783
_cell_angle_alpha 90.00
_cell_angle_beta 90.00
_cell_angle_gamma 120.00
_symmetry_space_group_name_H-M 'P -3 m 1'
_symmetry_Int_Tables_number 164
_symmetry_space_group_name_Hall '-P 3 2"'
loop_
_atom_site_label
_atom_site_type_symbol
_atom_site_fract_x
_atom_site_fract_y
_atom_site_fract_z
_atom_site_occupancy
Ho1 Ho 0.0000 0.0000 0.0000 1
Er1 Er 0.3333 0.6667 0.6664 1
Te1 Te 0.0000 0.0000 0.5000 1
Te2 Te 0.3333 0.6667 0.1680 1